[1]
Entry from Alexandria via LeMat-Bulk: a relaxed LaSmRuBr crystal (PBE-GGA).

```
LaSmRuBr
1.0
-1.2719 -1.0220 -3.7331
-1.2216 -2.1604 3.2318
-5.0352 6.2012 2.2371
Ru Br La Sm
1 1 1 1
Direct
0.3028 0.5491 0.8677
0.9621 0.3794 0.3559
0.5104 0.1530 0.6788
0.1026 0.9492 0.0673
```

Computed properties:
For the magnetization, the calculation gives 0.00 μB per formula unit. The density comes out at 6.8 g/cm³. Its raw formation energy is -3.28 eV per formula unit.


[2]
Entry from Alexandria via LeMat-Bulk: a relaxed La6SnRu2Br3 crystal (PBE-GGA).

```
La6SnRu2Br3
1.0
-2.9972 3.5857 5.8541
-2.3365 -6.8893 -1.7858
7.2892 -1.9461 3.2986
Sn La Ru Br
1 6 2 3
Direct
0.0000 0.0000 0.0000
0.3013 0.3013 0.7953
0.6987 0.6987 0.2047
0.0656 0.4365 0.2044
0.9344 0.5635 0.7956
0.4365 0.0656 0.2044
0.5635 0.9344 0.7956
0.6670 0.3330 0.0000
0.3330 0.6670 0.0000
0.5000 0.5000 0.5000
0.8388 0.1612 0.5000
0.1612 0.8388 0.5000
```

Computed properties:
For the magnetization, the calculation gives 0.00 μB per formula unit. The density comes out at 6.1 g/cm³. Its raw formation energy is -11.67 eV per formula unit.


[3]
Entry from Alexandria via LeMat-Bulk: a relaxed Sr2LaRuBr crystal (PBE-GGA).

```
Sr2LaRuBr
1.0
5.5692 0.0000 0.0000
0.0000 5.7443 0.0000
0.0000 0.0000 5.5692
Br Ru La Sr
1 1 1 2
Direct
0.0000 0.0000 0.0000
0.5000 0.5000 0.5000
0.0000 0.5000 0.0000
0.5000 0.0000 0.0000
0.0000 0.0000 0.5000
```

Computed properties:
For the magnetization, the calculation gives 0.00 μB per formula unit. The density comes out at 4.6 g/cm³. Its raw formation energy is 1.86 eV per formula unit.


[4]
Entry from Alexandria via LeMat-Bulk: a relaxed La8TcRu3Br4 crystal (PBE-GGA).

```
La8TcRu3Br4
1.0
-8.2977 -0.5768 -1.0138
-0.4191 -6.0997 6.9003
3.5095 7.4200 1.6825
Tc La Br Ru
1 8 4 3
Direct
0.0000 0.5000 0.0000
0.7692 0.3041 0.0347
0.2309 0.6959 0.4618
0.7309 0.6925 0.4617
0.7345 0.6959 0.9653
0.2691 0.3075 0.5383
0.2655 0.3041 0.0347
0.2308 0.6959 0.9653
0.7691 0.3041 0.5382
0.5000 0.0000 0.5000
0.0000 0.0000 0.5000
0.0000 0.0000 0.0000
0.5000 0.0000 0.0000
0.5000 0.5000 0.0000
0.0000 0.5000 0.5000
0.5000 0.5000 0.5000
```

Computed properties:
For the magnetization, the calculation gives 0.00 μB per formula unit. The density comes out at 6.4 g/cm³. Its raw formation energy is -13.01 eV per formula unit.


[5]
Entry from Alexandria via LeMat-Bulk: a relaxed La6Tc2RuBr3 crystal (PBE-GGA).

```
La6Tc2RuBr3
1.0
-6.3872 0.7495 2.9433
0.3616 -3.6807 -6.0285
3.0297 -5.7849 5.1356
Br Ru La Tc
3 1 6 2
Direct
0.8244 0.1756 0.5000
0.5000 0.5000 0.5000
0.1756 0.8244 0.5000
0.0000 0.0000 0.0000
0.7501 0.7501 0.2217
0.2499 0.2499 0.7783
0.4048 0.0736 0.1858
0.9264 0.5952 0.8142
0.0736 0.4048 0.1858
0.5952 0.9264 0.8142
0.3756 0.6244 0.0000
0.6244 0.3756 0.0000
```

Computed properties:
For the magnetization, the calculation gives 0.00 μB per formula unit. The density comes out at 6.4 g/cm³. Its raw formation energy is -8.50 eV per formula unit.


[6]
Entry from Alexandria via LeMat-Bulk: a relaxed La3TeRuBr crystal (PBE-GGA).

```
La3TeRuBr
1.0
4.0772 0.0000 0.0000
0.0000 7.5039 0.1439
0.0000 -2.7699 11.9991
La Te Ru Br
6 2 2 2
Direct
0.7500 0.5435 0.1364
0.7500 0.2796 0.4969
0.2500 0.9507 0.8686
0.7500 0.0493 0.1314
0.2500 0.7204 0.5031
0.2500 0.4565 0.8636
0.7500 0.6451 0.6928
0.2500 0.3549 0.3072
0.7500 0.2455 0.9844
0.2500 0.7545 0.0156
0.2500 0.1224 0.6459
0.7500 0.8776 0.3541
```

Computed properties:
For the magnetization, the calculation gives 0.00 μB per formula unit. The density comes out at 6.5 g/cm³. Its raw formation energy is -5.96 eV per formula unit.